The following is a DFT calculation (GGA-PBE) of a geometry-optimized PmHoSc2Bi4 structure.

Cell and atoms, written as POSCAR:
```
PmHoSc2Bi4
1.0
-2.205 -3.271 -1.948
6.591 -3.418 -1.718
-2.418 -2.416 6.793
Bi Ho Pm Sc
4 1 1 2
direct
0.500 0.740 0.731
0.000 0.752 0.266
0.500 0.260 0.269
0.000 0.248 0.734
0.500 0.500 0.000
0.000 0.000 0.000
0.500 0.000 0.500
0.000 0.500 0.500
```

Results
Magnetic moment in μB per formula unit: 0.00
Density in g/cm³: 8.54
Formation energy in eV/atom: -0.77

The following is a DFT calculation (GGA-PBE) of a geometry-optimized PmHo2ScBi4 structure.

Cell and atoms, written as POSCAR:
```
PmHo2ScBi4
1.0
-4.445 -0.166 -0.178
0.389 -2.646 -7.221
0.024 -5.936 4.919
Bi Pm Sc Ho
4 1 1 2
direct
0.000 0.739 0.244
0.500 0.740 0.749
0.500 0.260 0.251
0.000 0.261 0.756
0.000 0.000 0.000
0.500 0.500 0.000
0.500 0.000 0.500
0.000 0.500 0.500
```

Results
Magnetic moment in μB per formula unit: 0.00
Density in g/cm³: 9.04
Formation energy in eV/atom: -0.80

The following is a DFT calculation (GGA-PBE) of a geometry-optimized Pm2HoScBi4 structure.

Cell and atoms, written as POSCAR:
```
Pm2HoScBi4
1.0
4.482 0.000 0.000
0.000 7.758 0.134
0.000 -2.712 7.250
Bi Ho Pm Sc
4 1 2 1
direct
0.500 0.252 0.238
0.500 0.748 0.762
0.000 0.261 0.767
0.000 0.739 0.233
0.000 0.000 0.000
0.000 0.500 0.500
0.500 0.000 0.500
0.500 0.500 0.000
```

Results
Magnetic moment in μB per formula unit: 0.00
Density in g/cm³: 8.74
Formation energy in eV/atom: -0.83

The following is a DFT calculation (GGA-PBE) of a geometry-optimized PmHoBiSe structure.

Cell and atoms, written as POSCAR:
```
PmHoBiSe
1.0
-2.079 3.667 0.176
-2.140 -3.628 -0.250
1.961 -1.677 7.548
Bi Ho Pm Se
1 1 1 1
direct
0.128 0.962 0.105
0.298 0.547 0.861
0.973 0.385 0.373
0.478 0.137 0.631
```

Results
Formation energy without anion corrections in eV/f.u.: -4.856
Magnetic moment in μB per formula unit: 0.57
Density in g/cm³: 8.48

Which formula does entry 4 have?
PmHoBiSe